A relaxed SmHo7Tm4 crystal, computed with PBE-GGA.

Uncorrected energy: -4.557 eV per atom
Total moment: 0.0 Bohr magnetons per cell

abc: 6.146 7.101 8.738
angles: 89.98 76.31 89.91
Fractional positions:
Sm  0.000  0.000  0.000
Ho  0.000  0.500  0.000
Ho  0.222  0.000  0.335
Ho  0.279  0.748  0.665
Ho  0.500  0.251  0.000
Ho  0.500  0.749  0.000
Ho  0.721  0.252  0.335
Ho  0.778  0.000  0.665
Tm  0.221  0.500  0.335
Tm  0.279  0.251  0.665
Tm  0.721  0.749  0.335
Tm  0.779  0.500  0.665

---

A relaxed LaAl4Ni2Ir crystal, computed with PBE-GGA.

Uncorrected energy: -5.675 eV per atom
Total moment: 0.0 Bohr magnetons per cell

abc: 9.546 9.546 9.546
angles: 25.02 25.02 25.02
Fractional positions:
La  0.000  0.000  0.000
Al  0.133  0.133  0.133
Al  0.409  0.409  0.409
Al  0.591  0.591  0.591
Al  0.867  0.867  0.867
Ni  0.227  0.227  0.227
Ni  0.773  0.773  0.773
Ir  0.500  0.500  0.500

---

A relaxed Pm4PrNd2Sc crystal, computed with PBE-GGA.

Uncorrected energy: -4.834 eV per atom
Total moment: 0.0 Bohr magnetons per cell

abc: 5.981 5.993 7.463
angles: 90.00 90.00 90.00
Fractional positions:
Pm  0.000  0.000  0.236
Pm  0.000  0.000  0.764
Pm  0.500  0.500  0.237
Pm  0.500  0.500  0.763
Pr  0.500  0.000  0.500
Nd  0.000  0.500  0.500
Nd  0.500  0.000  0.000
Sc  0.000  0.500  0.000

---

A relaxed LiYMn3 crystal, computed with PBE-GGA.

Uncorrected energy: -6.489 eV per atom
Total moment: 9.8 Bohr magnetons per cell

abc: 4.465 4.465 4.465
angles: 90.00 90.00 90.00
Fractional positions:
Li  0.000  0.000  0.000
Y  0.500  0.500  0.500
Mn  0.000  0.000  0.500
Mn  0.000  0.500  0.000
Mn  0.500  0.000  0.000

---

A relaxed NaRe2N4 crystal, computed with PBE-GGA.

Energy relative to the elements, uncorrected: 0.33 eV/atom
Uncorrected energy: -8.169 eV per atom
Total moment: 0.0 Bohr magnetons per cell

abc: 5.807 5.807 5.807
angles: 102.32 102.32 124.98
Fractional positions:
Na  0.000  0.000  0.000
Re  0.250  0.750  0.500
Re  0.750  0.250  0.500
N  0.184  0.500  0.684
N  0.500  0.184  0.684
N  0.500  0.816  0.316
N  0.816  0.500  0.316

---

A relaxed TiMnTeN2 crystal, computed with PBE-GGA.

Energy relative to the elements, uncorrected: 0.35 eV/atom
Uncorrected energy: -7.024 eV per atom
Total moment: 4.5 Bohr magnetons per cell

abc: 3.910 3.910 5.833
angles: 90.00 90.00 90.00
Fractional positions:
Ti  0.000  0.000  0.000
Mn  0.500  0.500  0.500
Te  0.000  0.000  0.500
N  0.000  0.500  0.000
N  0.500  0.000  0.000

---

A relaxed RbUZn2F8 crystal, computed with PBE-GGA.

Energy relative to the elements, uncorrected: -2.67 eV/atom
Uncorrected energy: -5.153 eV per atom
Total moment: 2.9 Bohr magnetons per cell

abc: 8.528 8.528 8.528
angles: 38.24 38.24 38.24
Fractional positions:
Rb  0.000  0.000  0.000
U  0.500  0.500  0.500
Zn  0.259  0.259  0.259
Zn  0.741  0.741  0.741
F  0.096  0.460  0.775
F  0.225  0.904  0.540
F  0.338  0.338  0.338
F  0.460  0.775  0.096
F  0.540  0.225  0.904
F  0.662  0.662  0.662
F  0.775  0.096  0.460
F  0.904  0.540  0.225

---

A relaxed SrTiTl2In crystal, computed with PBE-GGA.

Uncorrected energy: -2.514 eV per atom
Total moment: 0.7 Bohr magnetons per cell

abc: 5.672 5.672 6.113
angles: 90.00 90.00 90.00
Fractional positions:
Sr  0.000  0.000  0.000
Ti  0.500  0.500  0.000
Tl  0.000  0.500  0.500
Tl  0.500  0.000  0.500
In  0.000  0.000  0.500

---

Question: Which value of total moment does entry 4 give?
Answer: 9.8 Bohr magnetons per cell

---

Question: Number 1 is which compound?
Answer: SmHo7Tm4